Entry 1:
Here is a relaxed Al2Zn2Tc crystal from Alexandria via LeMat-Bulk. Energies are from PBE.

* spin magnetization: 0.00 μB per cell
* D(E_F): 7.43 states/eV per cell
* calculated formation energy: 130.6 meV per atom
* energy relative to the lowest polymorph listed for this composition: 310 meV per atom
* SG: P4/mbm (127)
* calculated volume: 14.91 A^3/atom

Cell lengths 6.7665, 6.7665, 3.2564 Å; angles 90.00, 90.00, 90.00 degrees
Fractional coordinates of all 10 atoms:
Zn 0.1271 0.3729 0.0000
Al 0.3232 0.1768 0.5000
Al 0.8232 0.3232 0.5000
Al 0.6768 0.8232 0.5000
Tc 0.5000 0.5000 0.0000
Zn 0.6271 0.1271 0.0000
Zn 0.8729 0.6271 0.0000
Zn 0.3729 0.8729 0.0000
Al 0.1768 0.6768 0.5000
Tc 0.0000 0.0000 0.0000

Entry 2:
Here is a relaxed Al2ZnTc crystal from Alexandria via LeMat-Bulk. Energies are from PBE.

* spin magnetization: 0.00 μB per cell
* D(E_F): 5.19 states/eV per cell
* calculated formation energy: -254.7 meV per atom
* SG: Cmcm (63)
* calculated volume: 14.33 A^3/atom

Cell lengths 4.4759, 5.3247, 5.3247 Å; angles 115.41, 90.00, 90.00 degrees
Fractional coordinates of all 8 atoms:
Al 0.7500 0.8506 0.6453
Zn 0.7500 0.3422 0.6578
Al 0.2500 0.1494 0.3547
Tc 0.7500 0.8622 0.1378
Al 0.2500 0.6453 0.8506
Al 0.7500 0.3547 0.1494
Tc 0.2500 0.1378 0.8622
Zn 0.2500 0.6578 0.3422

Entry 3:
Here is a relaxed ZrAlZnTc crystal from Alexandria via LeMat-Bulk. Energies are from PBE.

* spin magnetization: 0.00 μB per cell
* D(E_F): 1.60 states/eV per cell
* calculated formation energy: -230.6 meV per atom
* SG: F-43m (216)
* calculated volume: 16.40 A^3/atom

Cell lengths 4.5272, 4.5272, 4.5272 Å; angles 60.00, 60.00, 60.00 degrees
Fractional coordinates of all 4 atoms:
Zn 0.0000 0.0000 0.0000
Tc 0.5000 0.5000 0.5000
Zr 0.2500 0.2500 0.2500
Al 0.7500 0.7500 0.7500

Entry 4:
Here is a relaxed ZrAl2Tc crystal from Alexandria via LeMat-Bulk. Energies are from PBE.

* spin magnetization: 0.00 μB per cell
* D(E_F): 2.60 states/eV per cell
* calculated formation energy: -253.4 meV per atom
* energy relative to the lowest polymorph listed for this composition: 119 meV per atom
* SG: Cmmm (65)
* calculated volume: 16.70 A^3/atom

Cell lengths 4.5400, 4.5400, 3.3399 Å; angles 90.00, 90.00, 103.98 degrees
Fractional coordinates of all 4 atoms:
Zr 0.0000 0.5000 0.5000
Tc 0.5000 0.0000 0.5000
Al 0.0000 0.0000 0.0000
Al 0.5000 0.5000 0.0000

Entry 5:
Here is a relaxed Zr2AlTc crystal from Alexandria via LeMat-Bulk. Energies are from PBE.

* spin magnetization: 0.00 μB per cell
* D(E_F): 3.05 states/eV per cell
* calculated formation energy: 149.9 meV per atom
* SG: I-42d (122)
* calculated volume: 20.23 A^3/atom

Cell lengths 7.5858, 7.5858, 6.0564 Å; angles 51.22, 51.22, 90.00 degrees
Fractional coordinates of all 8 atoms:
Al 0.2500 0.7500 0.5000
Zr 0.0869 0.6250 0.2500
Al 0.5000 0.5000 0.0000
Zr 0.6631 0.1250 0.2500
Tc 0.7500 0.2500 0.5000
Zr 0.8750 0.9131 0.7500
Zr 0.3750 0.3369 0.7500
Tc 0.0000 0.0000 0.0000

Entry 6:
Here is a relaxed ZrAl2Tc crystal from Alexandria via LeMat-Bulk. Energies are from PBE.

* spin magnetization: 0.00 μB per cell
* D(E_F): 0.89 states/eV per cell
* calculated formation energy: 52.9 meV per atom
* energy relative to the lowest polymorph listed for this composition: 426 meV per atom
* SG: Cmmm (65)
* calculated volume: 18.53 A^3/atom

Cell lengths 2.7743, 5.4686, 5.5990 Å; angles 119.23, 90.02, 90.00 degrees
Fractional coordinates of all 4 atoms:
Zr 0.5000 0.5000 0.0000
Al 0.0007 0.2206 0.4411
Al 0.9993 0.7794 0.5589
Tc 0.5000 0.0000 0.0000

Entry 7:
Here is a relaxed ZrAl4Tc crystal from Alexandria via LeMat-Bulk. Energies are from PBE.

* spin magnetization: 0.00 μB per cell
* D(E_F): 5.36 states/eV per cell
* calculated formation energy: -201.3 meV per atom
* SG: F-43m (216)
* calculated volume: 16.04 A^3/atom

Cell lengths 5.1440, 5.1440, 5.1440 Å; angles 60.00, 60.00, 60.00 degrees
Fractional coordinates of all 6 atoms:
Al 0.6253 0.1242 0.6253
Al 0.6253 0.6253 0.1242
Al 0.6253 0.6253 0.6253
Zr 0.0000 0.0000 0.0000
Al 0.1242 0.6253 0.6253
Tc 0.2500 0.2500 0.2500

Entry 8:
Here is a relaxed Zr2AlTc3 crystal from Alexandria via LeMat-Bulk. Energies are from PBE.

* spin magnetization: 0.00 μB per cell
* D(E_F): 4.59 states/eV per cell
* calculated formation energy: -427.2 meV per atom
* SG: C2/m (12)
* calculated volume: 17.21 A^3/atom

Cell lengths 5.2274, 5.2274, 5.3033 Å; angles 90.08, 119.51, 119.93 degrees
Fractional coordinates of all 6 atoms:
Zr 0.7550 0.3778 0.1327
Tc 0.0000 0.0000 0.5000
Tc 0.5000 0.5000 0.5000
Tc 0.5000 0.0000 0.5000
Zr 0.2450 0.6222 0.8673
Al 0.0000 0.0000 0.0000

Entry 9:
Here is a relaxed ZrAl2Tc crystal from Alexandria via LeMat-Bulk. Energies are from PBE.

* spin magnetization: 0.00 μB per cell
* D(E_F): 1.72 states/eV per cell
* calculated formation energy: -371.0 meV per atom
* energy relative to the lowest polymorph listed for this composition: 2 meV per atom
* SG: P4mm (99)
* calculated volume: 17.02 A^3/atom

Cell lengths 3.3307, 3.3307, 6.1361 Å; angles 90.00, 90.00, 90.00 degrees
Fractional coordinates of all 4 atoms:
Al 0.0000 0.0000 0.0296
Tc 0.0000 0.0000 0.4807
Al 0.5000 0.5000 0.2634
Zr 0.5000 0.5000 0.7263

Entry 10:
Here is a relaxed ZrAl2Tc crystal from Alexandria via LeMat-Bulk. Energies are from PBE.

* spin magnetization: 0.00 μB per cell
* D(E_F): 2.82 states/eV per cell
* calculated formation energy: -310.4 meV per atom
* energy relative to the lowest polymorph listed for this composition: 62 meV per atom
* SG: Pm (6)
* calculated volume: 16.77 A^3/atom

Cell lengths 4.3583, 3.0241, 5.1454 Å; angles 81.65, 90.00, 90.00 degrees
Fractional coordinates of all 4 atoms:
Al 0.0000 0.1392 0.9925
Tc 0.0000 0.5125 0.4614
Zr 0.5000 0.7039 0.7696
Al 0.5000 0.1444 0.2765

Entry 11:
Here is a relaxed Zr2AlTc crystal from Alexandria via LeMat-Bulk. Energies are from PBE.

* spin magnetization: 0.00 μB per cell
* D(E_F): 3.91 states/eV per cell
* calculated formation energy: -293.6 meV per atom
* SG: P4mm (99)
* calculated volume: 18.61 A^3/atom

Cell lengths 3.3693, 3.3693, 6.5570 Å; angles 90.00, 90.00, 90.00 degrees
Fractional coordinates of all 4 atoms:
Tc 0.5000 0.5000 0.7229
Zr 0.0000 0.0000 0.9708
Zr 0.5000 0.5000 0.2703
Al 0.0000 0.0000 0.5360

Entry 12:
Here is a relaxed ZrAl2Tc crystal from Alexandria via LeMat-Bulk. Energies are from PBE.

* spin magnetization: 0.00 μB per cell
* D(E_F): 3.26 states/eV per cell
* calculated formation energy: -130.8 meV per atom
* energy relative to the lowest polymorph listed for this composition: 242 meV per atom
* SG: R-3m (166)
* calculated volume: 17.28 A^3/atom

Cell lengths 9.2824, 9.2824, 9.2824 Å; angles 18.34, 18.34, 18.34 degrees
Fractional coordinates of all 4 atoms:
Al 0.5102 0.5102 0.5102
Al 0.9898 0.9898 0.9898
Zr 0.7500 0.7500 0.7500
Tc 0.2500 0.2500 0.2500

Entry 13:
Here is a relaxed ZrAl2Tc crystal from Alexandria via LeMat-Bulk. Energies are from PBE.

* spin magnetization: 0.00 μB per cell
* D(E_F): 4.26 states/eV per cell
* calculated formation energy: -372.7 meV per atom
* energy relative to the lowest polymorph listed for this composition: 0 meV per atom
* SG: P4/mmm (123)
* calculated volume: 16.77 A^3/atom

Cell lengths 3.1371, 3.1371, 6.8149 Å; angles 90.00, 90.00, 90.00 degrees
Fractional coordinates of all 4 atoms:
Al 0.0000 0.0000 0.4517
Zr 0.5000 0.5000 0.7500
Tc 0.5000 0.5000 0.2500
Al 0.0000 0.0000 0.0483